No. 1
Below is a geometry-optimized KAc2Nd3Te6 structure, with properties calculated at the GGA-PBE level.

Cell: 10.417 10.417 9.400 Å, 104.15 104.15 25.40°
Element x y z (fractional)
K: 0.000 0.000 0.000
Ac: 0.333 0.333 0.664
Ac: 0.667 0.667 0.336
Nd: 0.000 0.000 0.500
Nd: 0.337 0.337 0.178
Nd: 0.663 0.663 0.822
Te: 0.163 0.163 0.589
Te: 0.172 0.172 0.073
Te: 0.499 0.499 0.262
Te: 0.501 0.501 0.738
Te: 0.828 0.828 0.927
Te: 0.837 0.837 0.411

As for the total energy: -4.980 eV per atom.

***

No. 2
Below is a geometry-optimized Be2CuBr structure, with properties calculated at the GGA-PBE level.

Cell: 3.222 3.268 6.107 Å, 90.00 90.00 90.00°
Element x y z (fractional)
Be: 0.000 0.000 0.000
Be: 0.000 0.500 0.500
Cu: 0.500 0.000 0.500
Br: 0.500 0.500 0.000

The calculation puts the polymorph energy (0 for the lowest one) at 578 meV per atom.